(1)
{
  "formula": "CsK2CrBr8",
  "functional": "GGA-PBE",
  "state": "optimized geometry",
  "raw_formation_energy_mev_per_atom": -1108.1,
  "magnetic_moment_mub_per_fu": 2.00,
  "space_group": "No. 2",
  "lattice_angstrom": [[7.2395, -0.0645, -0.0061], [-0.0416, 5.9254, 0.8348], [0.0077, 1.3770, 9.6986]],
  "species": ["Cs", "K", "K", "Cr", "Br", "Br", "Br", "Br", "Br", "Br", "Br", "Br"],
  "frac_coords": [[0.0000, 0.0000, 0.5000], [0.5051, 0.3355, 0.8176], [0.4949, 0.6645, 0.1824], [0.0000, 0.0000, 0.0000], [0.9941, 0.6545, 0.2134], [0.7505, 0.8289, 0.8812], [0.7635, 0.1778, 0.1188], [0.0059, 0.3455, 0.7866], [0.2495, 0.1711, 0.1188], [0.2365, 0.8222, 0.8812], [0.4995, 0.7505, 0.5034], [0.5005, 0.2495, 0.4966]]
}

=====

(2)
{
  "formula": "NaMnI3",
  "functional": "GGA-PBE",
  "state": "optimized geometry",
  "raw_formation_energy_mev_per_atom": -726.6,
  "polymorph_energy_mev_per_atom": 0,
  "magnetic_moment_mub_per_fu": 5.00,
  "space_group": "No. 11",
  "lattice_angstrom": [[-1.4907, 0.0477, -4.0675], [6.4605, -4.0986, -2.4150], [-7.0883, -7.5980, 2.5071]],
  "species": ["Na", "Na", "Mn", "Mn", "I", "I", "I", "I", "I", "I"],
  "frac_coords": [[0.7500, 0.7812, 0.5310], [0.2500, 0.2188, 0.4690], [0.7500, 0.6391, 0.1593], [0.2500, 0.3609, 0.8407], [0.2500, 0.5414, 0.3276], [0.7500, 0.4586, 0.6724], [0.2500, 0.0186, 0.6959], [0.7500, 0.2906, 0.0052], [0.7500, 0.9814, 0.3041], [0.2500, 0.7094, 0.9948]]
}